Record 1
## AlVZnRe (PBE)

Data for AlVZnRe after structural relaxation.

Properties
N(E_F): 17.848 states/eV/cell
Total DFT energy (no corrections): -27.0 eV/f.u.
ΔH_f (0 K): -11 kJ per mole of atoms

a b c (Å): 6.0869 6.0869 6.0869
angles (deg): 90.00 90.00 90.00
Space group F-43m (No. 216)
One atom of each set of equivalent atoms:
Al (0.0000, 0.0000, 0.0000) (multiplicity 4)
V (0.0000, 0.0000, 0.5000) (multiplicity 4)
Zn (0.2500, 0.2500, 0.7500) (multiplicity 4)
Re (0.2500, 0.2500, 0.2500) (multiplicity 4)

Record 2
## TeC3 (PBE)

Data for TeC3 after structural relaxation.

Properties
N(E_F): 3.072 states/eV/cell
Total DFT energy (no corrections): -16.6 eV/f.u.
Energy above the lowest structure with this stoichiometry: 2598 meV per atom
Formation energy from raw total energies: 3563.7 meV per atom

a b c (Å): 4.8714 5.8499 3.2164
angles (deg): 90.00 90.00 90.00
Space group Cmmm (No. 65)
One atom of each set of equivalent atoms:
Te (0.0000, 0.0000, 0.0000) (multiplicity 2)
C (0.0000, 0.5000, 0.0000) (multiplicity 2)
C (0.2500, 0.2500, 0.5000) (multiplicity 4)

Record 3
## Ac6CeTe8 (PBE)

Data for Ac6CeTe8 after structural relaxation.

Properties
N(E_F): 60.470 states/eV/cell
Total DFT energy (no corrections): -78.1 eV/f.u.
Formation energy from raw total energies: -1495.0 meV per atom

a b c (Å): 13.3292 13.3292 13.3292
angles (deg): 90.00 90.00 90.00
Space group Fm-3m (No. 225)
One atom of each set of equivalent atoms:
Ac (0.0000, 0.2500, 0.2500) (multiplicity 24)
Ce (0.0000, 0.0000, 0.0000) (multiplicity 4)
Te (0.0000, 0.0000, 0.2466) (multiplicity 24)
Te (0.2500, 0.2500, 0.2500) (multiplicity 8)

Record 4
## RbZnAu (PBE)

Data for RbZnAu after structural relaxation.

Properties
N(E_F): 6.222 states/eV/cell
Total DFT energy (no corrections): -6.1 eV/f.u.
Energy above the lowest structure with this stoichiometry: 4 meV per atom
ΔH_f (0 K): -19 kJ per mole of atoms

a b c (Å): 7.2269 7.2269 7.2269
angles (deg): 90.00 90.00 90.00
Space group P2_13 (No. 198)
One atom of each set of equivalent atoms:
Rb (0.1350, 0.1350, 0.1350) (multiplicity 4)
Zn (0.1525, 0.3475, 0.6525) (multiplicity 4)
Au (0.0903, 0.5903, 0.9097) (multiplicity 4)